Computed, not measured: a relaxed Sb2Au2I crystal at the GGA-PBE level of DFT.

a b c (Å): 4.632 4.632 7.710
angles (deg): 92.12 92.12 106.10
Element x y z (fractional)
1 Sb 0.157 0.157 0.309
2 Sb 0.843 0.843 0.691
3 Au 0.301 0.699 0.500
4 Au 0.699 0.301 0.500
5 I 0.500 0.500 0.000

The density of states at the Fermi level is 2.2 states/eV/cell. The distance to the lowest polymorph of the same formula is 0 meV per atom. The uncorrected formation energy is -0.008 eV per atom. The size of the total moment comes out at 0.00 μB per formula unit.